1.
Here is a geometry-optimized Y4Tl2Ru structure from Alexandria. Energies are from PBE-GGA.

Properties
calculated total energy: -6.029 eV/atom
symmetry: C2/m, No. 12
size of the total moment: 0.00 μB/f.u.

a b c (Å): 6.1394 6.1394 8.6957
angles (deg): 121.03 121.03 44.94
With the nearest neighbours (Å) after each atom.
Element x y z (fractional)
Y: 0.0706 0.0706 0.3534  1 Ru 2.71
Y: 0.3318 0.3318 0.9392  2 Ru 2.88, 2 Tl 3.11
Y: 0.6682 0.6682 0.0608  2 Ru 2.88, 2 Tl 3.11
Y: 0.9294 0.9294 0.6466  1 Ru 2.71
Tl: 0.3429 0.3429 0.3267  8 Y 3.11-3.40, 1 Tl 3.13, 1 Ru 3.30
Tl: 0.6571 0.6571 0.6733  8 Y 3.11-3.40, 1 Tl 3.13, 1 Ru 3.30
Ru: 0.0000 0.0000 0.0000  6 Y 2.71-2.88

---

2.
Here is a geometry-optimized CsK4Cd structure from Alexandria. Energies are from PBE-GGA.

Properties
calculated total energy: -0.902 eV/atom
symmetry: F-43m, No. 216
size of the total moment: 0.00 μB/f.u.

a b c (Å): 8.5031 8.5031 8.5031
angles (deg): 60.00 60.00 60.00
With the nearest neighbours (Å) after each atom.
Element x y z (fractional)
Cs: 0.0000 0.0000 0.0000  12 K 4.99, 4 Cd 5.21
K: 0.3761 0.3761 0.3761  6 K 4.21-4.29
K: 0.3761 0.3761 0.8716  6 K 4.21-4.29
K: 0.3761 0.8716 0.3761  6 K 4.21-4.29
K: 0.8716 0.3761 0.3761  6 K 4.21-4.29
Cd: 0.7500 0.7500 0.7500  12 K 4.98, 4 Cs 5.21

---

3.
Here is a geometry-optimized V2CdSbBr structure from Alexandria. Energies are from PBE-GGA.

Properties
calculated total energy: -4.080 eV/atom
raw formation energy: 439 kJ/mol of formula units
symmetry: P4/mmm, No. 123
size of the total moment: 6.22 μB/f.u.

a b c (Å): 4.7750 4.7750 5.5058
angles (deg): 90.00 90.00 90.00
With the nearest neighbours (Å) after each atom.
Element x y z (fractional)
V: 0.0000 0.5000 0.0000  2 Br 2.39
V: 0.5000 0.0000 0.0000  2 Br 2.39
Cd: 0.0000 0.0000 0.5000  2 Br 2.75
Sb: 0.5000 0.5000 0.5000  4 Cd 3.38, 8 V 3.64
Br: 0.0000 0.0000 0.0000  4 V 2.39

---

4.
Here is a geometry-optimized Tb2ZnIn8 structure from Alexandria. Energies are from PBE-GGA.

Properties
calculated total energy: -3.216 eV/atom
symmetry: P4/mmm, No. 123
size of the total moment: 0.00 μB/f.u.

a b c (Å): 4.7397 4.7397 12.2676
angles (deg): 90.00 90.00 90.00
With the nearest neighbours (Å) after each atom.
Element x y z (fractional)
Tb: 0.0000 0.0000 0.1872  12 In 3.27-3.35
Tb: 0.0000 0.0000 0.8128  12 In 3.27-3.35
Zn: 0.0000 0.0000 0.5000  8 In 2.85
In: 0.0000 0.5000 0.0000  4 Tb 3.30, 8 In 3.30-3.35
In: 0.0000 0.5000 0.3710  2 Zn 2.85, 1 In 3.17
In: 0.0000 0.5000 0.6290  2 Zn 2.85, 1 In 3.17
In: 0.5000 0.0000 0.0000  4 Tb 3.30, 8 In 3.30-3.35
In: 0.5000 0.0000 0.3710  2 Zn 2.85, 1 In 3.17
In: 0.5000 0.0000 0.6290  2 Zn 2.85, 1 In 3.17
In: 0.5000 0.5000 0.1874  8 In 3.27-3.30, 4 Tb 3.35
In: 0.5000 0.5000 0.8126  8 In 3.27-3.30, 4 Tb 3.35

---

5.
Here is a geometry-optimized Pu2SnC structure from Alexandria. Energies are from PBE-GGA.

Properties
calculated total energy: -10.555 eV/atom
symmetry: P4/mmm, No. 123
size of the total moment: 10.18 μB/f.u.

a b c (Å): 3.1266 3.1266 8.0465
angles (deg): 90.00 90.00 90.00
With the nearest neighbours (Å) after each atom.
Element x y z (fractional)
Pu: 0.0000 0.0000 0.1747  4 C 2.62, 1 Pu 2.81
Pu: 0.0000 0.0000 0.8253  4 C 2.62, 1 Pu 2.81
Sn: 0.5000 0.5000 0.5000  4 Sn 3.13, 8 Pu 3.43
C: 0.5000 0.5000 0.0000  8 Pu 2.62

---

6.
Here is a geometry-optimized Pu7TeBr12 structure from Alexandria. Energies are from PBE-GGA.

Properties
calculated total energy: -7.545 eV/atom
raw formation energy: -2640 kJ/mol of formula units
symmetry: R-3, No. 148
size of the total moment: 30.37 μB/f.u.

a b c (Å): 9.5139 9.5139 9.5139
angles (deg): 107.06 107.06 107.06
With the nearest neighbours (Å) after each atom.
Element x y z (fractional)
Pu: 0.0000 0.0000 0.0000  6 Br 2.99
Pu: 0.1500 0.3868 0.4675  5 Br 2.96-3.02, 1 Te 3.07
Pu: 0.3868 0.4675 0.1500  5 Br 2.96-3.02, 1 Te 3.07
Pu: 0.4675 0.1500 0.3868  5 Br 2.96-3.02, 1 Te 3.07
Pu: 0.5325 0.8500 0.6132  5 Br 2.96-3.02, 1 Te 3.07
Pu: 0.6132 0.5325 0.8500  5 Br 2.96-3.02, 1 Te 3.07
Pu: 0.8500 0.6132 0.5325  5 Br 2.96-3.02, 1 Te 3.07
Te: 0.5000 0.5000 0.5000  6 Pu 3.07
Br: 0.0445 0.3444 0.1213  3 Pu 2.99-3.02
Br: 0.1213 0.0445 0.3444  3 Pu 2.99-3.02
Br: 0.1913 0.7277 0.5773  3 Pu 2.96-2.98
Br: 0.2723 0.4227 0.8087  3 Pu 2.96-2.98
Br: 0.3444 0.1213 0.0445  3 Pu 2.99-3.02
Br: 0.4227 0.8087 0.2723  3 Pu 2.96-2.98
Br: 0.5773 0.1913 0.7277  3 Pu 2.96-2.98
Br: 0.6556 0.8787 0.9555  3 Pu 2.99-3.02
Br: 0.7277 0.5773 0.1913  3 Pu 2.96-2.98
Br: 0.8087 0.2723 0.4227  3 Pu 2.96-2.98
Br: 0.8787 0.9555 0.6556  3 Pu 2.99-3.02
Br: 0.9555 0.6556 0.8787  3 Pu 2.99-3.02

---

- Look up the calculated total energy of the third one.
  -4.080 eV/atom

---

- What is the size of the total moment in the third record?
  6.22 μB/f.u.

---

- Which formula does entry 4 have?
  Tb2ZnIn8